(1)
A PBEsol-optimized structure of HPd. Source: the Alexandria database, functional meta-GGA SCAN.

Values from the calculation:
Excess energy over the best structure of this formula in the dataset, meV per atom: 47
SG: Fm-3m, No. 225
Mass density, Mg/m³: 10.64
E_tot, eV per atom: -18.182
Density of states at the Fermi level, states/eV/atom: 0.23

The structure in POSCAR format:
```
HPd
1.0
-2.668 0.152 -1.054
-1.579 -2.386 -0.262
-2.254 -0.428 1.729
H Pd
1 1
Cartesian
-3.250 -1.331 0.206 H
0.000 0.000 0.000 Pd
```



(2)
A PBEsol-optimized structure of H2PdPt2. Source: the Alexandria database, functional meta-GGA SCAN.

Values from the calculation:
SG: P4/mbm, No. 127
Mass density, Mg/m³: 15.55
E_tot, eV per atom: -36.013
Density of states at the Fermi level, states/eV/atom: 0.50

The structure in POSCAR format:
```
H2PdPt2
1.0
3.866 0.000 0.000
0.000 5.249 0.000
0.000 0.000 5.249
H Pd Pt
4 2 4
Cartesian
0.000 0.938 3.562 H
0.000 3.562 4.311 H
0.000 4.311 1.687 H
0.000 1.687 0.938 H
0.000 0.000 0.000 Pd
0.000 2.624 2.624 Pd
1.933 0.952 3.576 Pt
1.933 3.576 4.297 Pt
1.933 4.297 1.672 Pt
1.933 1.672 0.952 Pt
```



(3)
A PBEsol-optimized structure of H2PdPt. Source: the Alexandria database, functional meta-GGA SCAN.

Values from the calculation:
SG: I-42d, No. 122
Mass density, Mg/m³: 13.63
E_tot, eV per atom: -27.476
Density of states at the Fermi level, states/eV/atom: 0.19

The structure in POSCAR format:
```
H2PdPt
1.0
-3.813 1.565 -0.618
0.381 -0.687 -4.092
0.041 -4.323 2.852
H Pt Pd
4 2 2
Cartesian
-1.058 -1.107 -3.095 H
-3.211 0.042 -1.367 H
-0.401 -3.127 1.580 H
-2.111 -2.699 -0.835 H
-0.647 -2.286 -1.798 Pt
0.000 0.000 0.000 Pt
-2.743 -1.160 -0.060 Pd
-1.716 0.439 -2.355 Pd
```